No. 1
The following is a PBE calculation of a geometry-optimized YZn2P structure, from Alexandria.

Output
M_tot   0.00 μB per atom
Energy of formation from the pure elements   -0.219 eV per atom

Cell lengths 6.734, 6.734, 6.734 Å; angles 90.00, 90.00, 90.00 degrees
Atoms (fractional coordinates):
Y: 0.000 0.000 0.000
Y: 0.000 0.500 0.500
Y: 0.500 0.000 0.500
Y: 0.500 0.500 0.000
Zn: 0.000 0.000 0.500
Zn: 0.000 0.500 0.000
Zn: 0.250 0.250 0.750
Zn: 0.250 0.750 0.250
Zn: 0.500 0.000 0.000
Zn: 0.500 0.500 0.500
Zn: 0.750 0.250 0.250
Zn: 0.750 0.750 0.750
P: 0.250 0.250 0.250
P: 0.250 0.750 0.750
P: 0.750 0.250 0.750
P: 0.750 0.750 0.250


No. 2
The following is a PBE calculation of a geometry-optimized Y2ZnP structure, from Alexandria.

Output
M_tot   0.00 μB per atom
Energy of formation from the pure elements   -0.755 eV per atom

Cell lengths 3.610, 3.610, 6.613 Å; angles 90.00, 90.37, 90.00 degrees
Atoms (fractional coordinates):
Y: 0.004 0.000 0.264
Y: 0.996 0.000 0.736
Zn: 0.500 0.500 0.000
P: 0.500 0.500 0.500